A plane-wave DFT calculation with GGA+U was carried out for crystalline Hf2NiGeF at its relaxed geometry.

Results
Uncorrected energy: -5.71 eV/atom
Total moment: 1.1 μB per cell

Lattice parameters (Å, degrees): 4.260 4.731 4.260 90.00 90.00 90.00
Last column: magnetic moment on the atom in μB.
Element x y z (fractional)
Hf 0.500 0.000 0.000  0.08
F 0.000 0.000 0.000  0.04
Hf 0.000 0.000 0.500  0.06
Ni 0.500 0.500 0.500  0.85
Ge 0.000 0.500 0.000  0.08